(1)
Here is PrZn3Pt6 after structural relaxation from OQMD. Energies are from PBE. Values from VASP.

Output
Formation energy from the elements in eV per atom: 0.9132
Crystal system: tetragonal
Total energy in eV/atom: -3.58
Total magnetization in μB per atom: 0.0009
Calculated density in Mg/m³: 8.84

Structure (Quantum ESPRESSO input):
```
&SYSTEM
  ibrav = 0, nat = 10, ntyp = 3
/
ATOMIC_SPECIES
Pr 140.91 Pr.upf
Zn 65.41 Zn.upf
Pt 195.08 Pt.upf
ATOMIC_POSITIONS crystal
Pr 0.000 0.000 0.000
Zn 0.250 0.750 0.500
Zn 0.500 0.500 0.000
Zn 0.750 0.250 0.500
Pt 0.000 0.337 0.337
Pt 0.000 0.663 0.663
Pt 0.260 0.260 0.000
Pt 0.337 0.000 0.337
Pt 0.663 0.000 0.663
Pt 0.740 0.740 0.000
CELL_PARAMETERS angstrom
-3.831 3.831 4.823
3.831 -3.831 4.823
3.831 3.831 -4.823
```

=====

(2)
Here is PrZn4Pt2 after structural relaxation from OQMD. Energies are from PBE. Values from VASP.

Output
Formation energy from the elements in eV per atom: -0.6511
Crystal system: tetragonal
Total energy in eV/atom: -3.79
Total magnetization in μB per atom: 0.0009
Calculated density in Mg/m³: 10.55

Structure (Quantum ESPRESSO input):
```
&SYSTEM
  ibrav = 0, nat = 14, ntyp = 3
/
ATOMIC_SPECIES
Pr 140.91 Pr.upf
Zn 65.41 Zn.upf
Pt 195.08 Pt.upf
ATOMIC_POSITIONS crystal
Pr 0.000 0.000 0.000
Pr 0.500 0.500 0.500
Zn 0.094 0.350 0.500
Zn 0.150 0.594 0.000
Zn 0.350 0.094 0.500
Zn 0.406 0.850 0.000
Zn 0.594 0.150 0.000
Zn 0.650 0.906 0.500
Zn 0.850 0.406 0.000
Zn 0.906 0.650 0.500
Pt 0.217 0.783 0.500
Pt 0.283 0.283 0.000
Pt 0.717 0.717 0.000
Pt 0.783 0.217 0.500
CELL_PARAMETERS angstrom
7.661 0.000 0.000
0.000 7.661 0.000
0.000 0.000 4.253
```

=====

(3)
Here is PrZrPt after structural relaxation from OQMD. Energies are from PBE. Values from VASP.

Output
Formation energy from the elements in eV per atom: -0.4191
Crystal system: cubic
Total energy in eV/atom: -6.88
Total magnetization in μB per atom: 0.0034
Calculated density in Mg/m³: 8.91
Excess energy over the best structure of this formula in the dataset in meV per atom: 0

Structure (Quantum ESPRESSO input):
```
&SYSTEM
  ibrav = 0, nat = 3, ntyp = 3
/
ATOMIC_SPECIES
Pr 140.91 Pr.upf
Zr 91.22 Zr.upf
Pt 195.08 Pt.upf
ATOMIC_POSITIONS crystal
Pr 0.000 0.000 0.000
Zr 0.500 0.500 0.500
Pt 0.250 0.250 0.250
CELL_PARAMETERS angstrom
0.000 3.414 3.414
3.414 0.000 3.414
3.414 3.414 0.000
```

=====

(4)
Here is PrPu after structural relaxation from OQMD. Energies are from PBE. Values from VASP.

Output
Formation energy from the elements in eV per atom: 0.5376
Crystal system: hexagonal
Total energy in eV/atom: -8.91
Total magnetization in μB per atom: 2.6874
Calculated density in Mg/m³: 13.03
Excess energy over the best structure of this formula in the dataset in meV per atom: 0

Structure (Quantum ESPRESSO input):
```
&SYSTEM
  ibrav = 0, nat = 2, ntyp = 2
/
ATOMIC_SPECIES
Pr 140.91 Pr.upf
Pu 244.00 Pu.upf
ATOMIC_POSITIONS crystal
Pr 0.000 0.000 0.000
Pu 0.667 0.333 0.500
CELL_PARAMETERS angstrom
3.069 0.000 0.000
-1.535 2.658 0.000
0.000 0.000 6.014
```

=====

(5)
Here is PrPu after structural relaxation from OQMD. Energies are from PBE. Values from VASP.

Output
Formation energy from the elements in eV per atom: 1.4501
Crystal system: cubic
Total energy in eV/atom: -8.00
Total magnetization in μB per atom: 3.3541
Calculated density in Mg/m³: 8.55
Excess energy over the best structure of this formula in the dataset in meV per atom: 912

Structure (Quantum ESPRESSO input):
```
&SYSTEM
  ibrav = 0, nat = 2, ntyp = 2
/
ATOMIC_SPECIES
Pr 140.91 Pr.upf
Pu 244.00 Pu.upf
ATOMIC_POSITIONS crystal
Pr 0.000 0.000 0.000
Pu 0.750 0.750 0.750
CELL_PARAMETERS angstrom
0.000 3.344 3.344
3.344 0.000 3.344
3.344 3.344 0.000
```

=====

(6)
Here is Pr2Pu after structural relaxation from OQMD. Energies are from PBE. Values from VASP.

Output
Formation energy from the elements in eV per atom: 1.9590
Crystal system: cubic
Total energy in eV/atom: -5.93
Total magnetization in μB per atom: 2.0640
Calculated density in Mg/m³: 3.74

Structure (Quantum ESPRESSO input):
```
&SYSTEM
  ibrav = 0, nat = 6, ntyp = 2
/
ATOMIC_SPECIES
Pr 140.91 Pr.upf
Pu 244.00 Pu.upf
ATOMIC_POSITIONS crystal
Pr 0.000 0.000 0.000
Pr 0.000 0.000 0.500
Pr 0.000 0.500 0.000
Pr 0.500 0.000 0.000
Pu 0.125 0.125 0.125
Pu 0.875 0.875 0.875
CELL_PARAMETERS angstrom
0.000 6.156 6.156
6.156 0.000 6.156
6.156 6.156 0.000
```

=====

(7)
Here is PrPu after structural relaxation from OQMD. Energies are from PBE. Values from VASP.

Output
Formation energy from the elements in eV per atom: 0.6791
Crystal system: cubic
Total energy in eV/atom: -8.77
Total magnetization in μB per atom: 3.2948
Calculated density in Mg/m³: 9.55
Excess energy over the best structure of this formula in the dataset in meV per atom: 142

Structure (Quantum ESPRESSO input):
```
&SYSTEM
  ibrav = 0, nat = 2, ntyp = 2
/
ATOMIC_SPECIES
Pr 140.91 Pr.upf
Pu 244.00 Pu.upf
ATOMIC_POSITIONS crystal
Pr 0.000 0.000 0.000
Pu 0.500 0.500 0.500
CELL_PARAMETERS angstrom
0.000 3.223 3.223
3.223 0.000 3.223
3.223 3.223 0.000
```

=====

(8)
Here is PrPu2 after structural relaxation from OQMD. Energies are from PBE. Values from VASP.

Output
Formation energy from the elements in eV per atom: 2.4149
Crystal system: cubic
Total energy in eV/atom: -8.59
Total magnetization in μB per atom: 4.1370
Calculated density in Mg/m³: 3.93

Structure (Quantum ESPRESSO input):
```
&SYSTEM
  ibrav = 0, nat = 6, ntyp = 2
/
ATOMIC_SPECIES
Pr 140.91 Pr.upf
Pu 244.00 Pu.upf
ATOMIC_POSITIONS crystal
Pr 0.125 0.125 0.125
Pr 0.875 0.875 0.875
Pu 0.000 0.000 0.000
Pu 0.000 0.000 0.500
Pu 0.000 0.500 0.000
Pu 0.500 0.000 0.000
CELL_PARAMETERS angstrom
0.000 6.427 6.427
6.427 0.000 6.427
6.427 6.427 0.000
```

=====

(9)
Here is PrPuRe after structural relaxation from OQMD. Energies are from PBE. Values from VASP.

Output
Formation energy from the elements in eV per atom: 0.4369
Crystal system: cubic
Total energy in eV/atom: -10.00
Total magnetization in μB per atom: 1.6858
Calculated density in Mg/m³: 11.85
Excess energy over the best structure of this formula in the dataset in meV per atom: 0

Structure (Quantum ESPRESSO input):
```
&SYSTEM
  ibrav = 0, nat = 3, ntyp = 3
/
ATOMIC_SPECIES
Pr 140.91 Pr.upf
Pu 244.00 Pu.upf
Re 186.21 Re.upf
ATOMIC_POSITIONS crystal
Pr 0.000 0.000 0.000
Pu 0.500 0.500 0.500
Re 0.750 0.750 0.750
CELL_PARAMETERS angstrom
0.000 3.421 3.421
3.421 0.000 3.421
3.421 3.421 0.000
```

=====

(10)
Here is Pr2PuS3 after structural relaxation from OQMD. Energies are from PBE. Values from VASP.

Output
Crystal system: orthorhombic
Total energy in eV/atom: -8.00
Total magnetization in μB per atom: 0.9556
Calculated density in Mg/m³: 7.30

Structure (Quantum ESPRESSO input):
```
&SYSTEM
  ibrav = 0, nat = 6, ntyp = 3
/
ATOMIC_SPECIES
Pr 140.91 Pr.upf
Pu 244.00 Pu.upf
S 32.06 S.upf
ATOMIC_POSITIONS crystal
Pr 0.170 0.170 0.000
Pr 0.830 0.830 0.000
Pu 0.500 0.500 0.000
S 0.000 0.500 0.500
S 0.341 0.841 0.500
S 0.659 0.159 0.500
CELL_PARAMETERS angstrom
-2.022 2.871 6.094
2.022 -2.871 6.094
2.022 2.871 -6.094
```

=====

(11)
Here is PrPuSb after structural relaxation from OQMD. Energies are from PBE. Values from VASP.

Output
Crystal system: cubic
Total energy in eV/atom: -7.69
Total magnetization in μB per atom: 2.4921
Calculated density in Mg/m³: 9.10

Structure (Quantum ESPRESSO input):
```
&SYSTEM
  ibrav = 0, nat = 3, ntyp = 3
/
ATOMIC_SPECIES
Pr 140.91 Pr.upf
Pu 244.00 Pu.upf
Sb 121.76 Sb.upf
ATOMIC_POSITIONS crystal
Pr 0.000 0.000 0.000
Pu 0.250 0.250 0.250
Sb 0.500 0.500 0.500
CELL_PARAMETERS angstrom
0.000 3.590 3.590
3.590 0.000 3.590
3.590 3.590 0.000
```

=====

(12)
Here is PrPuSb2Te2 after structural relaxation from OQMD. Energies are from PBE. Values from VASP.

Output
Crystal system: tetragonal
Total energy in eV/atom: -6.60
Total magnetization in μB per atom: 0.8167
Calculated density in Mg/m³: 8.30

Structure (Quantum ESPRESSO input):
```
&SYSTEM
  ibrav = 0, nat = 6, ntyp = 4
/
ATOMIC_SPECIES
Pr 140.91 Pr.upf
Pu 244.00 Pu.upf
Sb 121.76 Sb.upf
Te 127.60 Te.upf
ATOMIC_POSITIONS crystal
Pr 0.000 0.000 0.000
Pu 0.500 0.500 0.451
Sb 0.000 0.500 0.720
Sb 0.500 0.000 0.720
Te 0.000 0.000 0.365
Te 0.500 0.500 0.105
CELL_PARAMETERS angstrom
4.346 0.000 0.000
0.000 4.346 0.000
0.000 0.000 9.359
```

=====

(13)
Here is PrPuTe4Se2 after structural relaxation from OQMD. Energies are from PBE. Values from VASP.

Output
Crystal system: orthorhombic
Total energy in eV/atom: -5.55
Total magnetization in μB per atom: 0.0361
Calculated density in Mg/m³: 7.52

Structure (Quantum ESPRESSO input):
```
&SYSTEM
  ibrav = 0, nat = 8, ntyp = 4
/
ATOMIC_SPECIES
Pr 140.91 Pr.upf
Pu 244.00 Pu.upf
Te 127.60 Te.upf
Se 78.96 Se.upf
ATOMIC_POSITIONS crystal
Pr 0.000 0.000 0.000
Pu 0.500 0.356 0.356
Te 0.000 0.258 0.258
Te 0.000 0.603 0.603
Te 0.500 0.103 0.103
Te 0.500 0.758 0.758
Se 0.000 0.880 0.880
Se 0.500 0.471 0.471
CELL_PARAMETERS angstrom
4.292 0.000 0.000
0.000 2.145 12.636
0.000 -2.145 12.636
```

=====

(14)
Here is PrSmPu after structural relaxation from OQMD. Energies are from PBE. Values from VASP.

Output
Formation energy from the elements in eV per atom: 0.8231
Crystal system: cubic
Total energy in eV/atom: -7.05
Total magnetization in μB per atom: 2.2087
Calculated density in Mg/m³: 8.42
Excess energy over the best structure of this formula in the dataset in meV per atom: 0

Structure (Quantum ESPRESSO input):
```
&SYSTEM
  ibrav = 0, nat = 3, ntyp = 3
/
ATOMIC_SPECIES
Pr 140.91 Pr.upf
Sm 150.36 Sm.upf
Pu 244.00 Pu.upf
ATOMIC_POSITIONS crystal
Pr 0.000 0.000 0.000
Sm 0.250 0.250 0.250
Pu 0.500 0.500 0.500
CELL_PARAMETERS angstrom
0.000 3.752 3.752
3.752 0.000 3.752
3.752 3.752 0.000
```